ErNi10B3 GGA-PBE optimized geometry; energy relative to the elements = -0.3197 eV/atom; N(E_F) = 13.9 states/eV/f.u.; SG = Fm-3m, No. 225; E = -173.77 eV per cell; magnetic moment = 0.00 μB/cell
1.0
0.8846 0.7163 7.4348
6.8711 1.0026 2.8904
1.9104 6.6560 2.9360
Er Ni B
2 20 6
Direct
0.2500 0.2500 0.2500
0.7500 0.7500 0.7500
0.0000 0.0000 0.3342
0.0000 0.3342 0.0000
0.3342 0.0000 0.0000
0.6658 0.3342 0.0000
0.3876 0.3876 0.3876
0.1627 0.6124 0.6124
0.3876 0.8373 0.3876
0.6658 0.0000 0.3342
0.3876 0.3876 0.8373
0.8373 0.3876 0.3876
0.6124 0.6124 0.1627
0.0000 0.0000 0.6658
0.3342 0.6658 0.0000
0.0000 0.6658 0.3342
0.0000 0.3342 0.6658
0.6658 0.0000 0.0000
0.6124 0.6124 0.6124
0.0000 0.6658 0.0000
0.6124 0.1627 0.6124
0.3342 0.0000 0.6658
0.7304 0.7304 0.2696
0.7304 0.2696 0.7304
0.2696 0.7304 0.7304
0.2696 0.2696 0.7304
0.7304 0.2696 0.2696
0.2696 0.7304 0.2696